Compound: ThZn2
Source: Alexandria
Functional: PBE
Structure: optimized geometry

The formation energy is -0.7 eV/f.u.

Cell and atoms, written as POSCAR:
```
ThZn2
1.0
-3.8532 -3.7116 -1.6494
1.0463 -3.3807 -4.3382
0.8369 -5.4697 0.8518
Zn Th
4 2
Cartesian
0.6953 -5.9954 -2.3852
-1.2312 -7.8512 -3.2099
-1.6497 -5.1164 -3.6358
-1.7544 -6.1609 -1.0408
0.0000 0.0000 0.0000
-0.4925 -3.1405 -1.2840
```